{"formula": "Ba3CeTh2Bi6", "functional": "PBE", "state": "relaxed", "formation_enthalpy_0k_ev_per_atom": -0.8105, "m_tot_mub_per_fu": 0.10, "lattice_angstrom": [[-7.3149, -2.9933, -2.4276], [3.5218, -2.8105, 6.9325], [-2.5063, 7.6981, 2.7513]], "species": ["Bi", "Bi", "Bi", "Bi", "Bi", "Bi", "Ba", "Ba", "Ba", "Th", "Th", "Ce"], "frac_coords": [[0.9283, 0.5975, 0.7843], [0.4025, 0.0717, 0.2157], [0.5975, 0.9283, 0.7843], [0.0717, 0.4025, 0.2157], [0.7416, 0.7416, 0.2164], [0.2584, 0.2584, 0.7836], [0.1674, 0.8326, 0.5000], [0.8326, 0.1674, 0.5000], [0.5000, 0.5000, 0.5000], [0.3336, 0.6664, 0.0000], [0.6664, 0.3336, 0.0000], [0.0000, 0.0000, 0.0000]]}



{"formula": "La12CeCd3", "functional": "PBE", "state": "relaxed", "formation_enthalpy_0k_ev_per_atom": -0.0845, "m_tot_mub_per_fu": 0.45, "lattice_angstrom": [[-4.1428, -1.6055, -2.4680], [0.6497, -4.6538, 1.9369], [-11.5089, 5.0630, 16.0258]], "species": ["La", "La", "La", "La", "La", "La", "La", "La", "La", "La", "La", "La", "Cd", "Cd", "Cd", "Ce"], "frac_coords": [[0.0000, 0.5000, 0.8751], [0.5000, 0.5000, 0.5000], [0.5000, 0.5000, 0.2511], [0.5000, 0.0000, 0.8751], [0.0000, 0.5000, 0.3755], [0.5000, 0.0000, 0.3755], [0.5000, 0.0000, 0.6245], [0.0000, 0.5000, 0.6245], [0.5000, 0.5000, 0.0000], [0.5000, 0.0000, 0.1249], [0.0000, 0.5000, 0.1249], [0.5000, 0.5000, 0.7489], [0.0000, 0.0000, 0.5000], [0.0000, 0.0000, 0.7473], [0.0000, 0.0000, 0.2527], [0.0000, 0.0000, 0.0000]]}



{"formula": "BaSiBr2O", "functional": "PBE", "state": "relaxed", "m_tot_mub_per_fu": 0.01, "raw_formation_energy_ev_per_atom": -0.183, "lattice_angstrom": [[5.0996, 0.0000, 0.0000], [0.0000, 5.0755, 0.0000], [0.0000, 0.0000, 5.0996]], "species": ["Br", "Br", "O", "Ba", "Si"], "frac_coords": [[0.0000, 0.0000, 0.5000], [0.5000, 0.0000, 0.0000], [0.0000, 0.0000, 0.0000], [0.0000, 0.5000, 0.0000], [0.5000, 0.5000, 0.5000]]}



{"formula": "Tl2Hg8Au", "functional": "PBE", "state": "relaxed", "relative_energy_mev_per_atom": 21.2, "formation_enthalpy_0k_ev_per_atom": 0.0107, "m_tot_mub_per_fu": 0.00, "lattice_angstrom": [[-1.1520, 0.6667, -5.1222], [-0.8968, -6.5809, -0.6549], [-7.3521, 3.3712, 4.8263]], "species": ["Tl", "Tl", "Au", "Hg", "Hg", "Hg", "Hg", "Hg", "Hg", "Hg", "Hg"], "frac_coords": [[0.2052, 0.6859, 0.4105], [0.7948, 0.3141, 0.5895], [0.5000, 0.0000, 0.0000], [0.9945, 0.2588, 0.9891], [0.8292, 0.8329, 0.6584], [0.6131, 0.4043, 0.2261], [0.3623, 0.1247, 0.7246], [0.0055, 0.7412, 0.0109], [0.6377, 0.8753, 0.2754], [0.3869, 0.5957, 0.7739], [0.1708, 0.1671, 0.3416]]}



{"formula": "Pm3TmHg2", "functional": "PBE", "state": "relaxed", "relative_energy_mev_per_atom": 258.7, "formation_enthalpy_0k_ev_per_atom": -0.0750, "m_tot_mub_per_fu": 0.00, "lattice_angstrom": [[-6.7125, 2.6999, -0.0905], [-1.9251, -4.9662, -5.3704], [2.2997, -3.7123, 7.9350]], "species": ["Hg", "Hg", "Hg", "Hg", "Pm", "Pm", "Pm", "Pm", "Pm", "Pm", "Tm", "Tm"], "frac_coords": [[0.1590, 0.8631, 0.7262], [0.4328, 0.6369, 0.2738], [0.8410, 0.1369, 0.2738], [0.5672, 0.3631, 0.7262], [0.7726, 0.0226, 0.5453], [0.5000, 0.7500, 0.0000], [0.5000, 0.2500, 0.0000], [0.2274, 0.9774, 0.4547], [0.7726, 0.5226, 0.5453], [0.2274, 0.4774, 0.4547], [0.0000, 0.5000, 0.0000], [0.0000, 0.0000, 0.0000]]}



{"formula": "Be2VRu5W2", "functional": "PBE", "state": "relaxed", "formation_enthalpy_0k_ev_per_atom": -0.2172, "m_tot_mub_per_fu": 0.00, "lattice_angstrom": [[2.9886, 0.0000, 0.0000], [0.0000, 9.3094, 0.0000], [0.0000, 0.0000, 9.3094]], "species": ["Ru", "Ru", "Ru", "Ru", "Ru", "Ru", "Ru", "Ru", "Ru", "Ru", "W", "W", "W", "W", "Be", "Be", "Be", "Be", "V", "V"], "frac_coords": [[0.5000, 0.0690, 0.7927], [0.5000, 0.7927, 0.9310], [0.5000, 0.0000, 0.5000], [0.5000, 0.9310, 0.2073], [0.5000, 0.5690, 0.7073], [0.5000, 0.7073, 0.4310], [0.5000, 0.2927, 0.5690], [0.5000, 0.2073, 0.0690], [0.5000, 0.5000, 0.0000], [0.5000, 0.4310, 0.2927], [0.0000, 0.3243, 0.8243], [0.0000, 0.6757, 0.1757], [0.0000, 0.1757, 0.3243], [0.0000, 0.8243, 0.6757], [0.0000, 0.1234, 0.6234], [0.0000, 0.6234, 0.8766], [0.0000, 0.3766, 0.1234], [0.0000, 0.8766, 0.3766], [0.0000, 0.0000, 0.0000], [0.0000, 0.5000, 0.5000]]}



no.,Fermi-level density of states (states/eV per atom),total energy (eV per cell)
1,0.235,-59.55
2,1.689,-69.16
3,0.733,-16.57
4,0.190,-10.31
5,1.267,-39.55
6,0.345,-182.06